No. 1
# Tb2HoMg6

Crystalline Tb2HoMg6 at its relaxed geometry (GGA-PBE, the Alexandria database).

extended XYZ file:
```
9
Lattice="9.070 0.000 0.000 -4.535 7.855 0.000 0.000 0.000 3.284" Properties=species:S:1:pos:R:3 pbc="T T T"
Tb 0.000 5.237 0.000
Tb 4.535 2.618 0.000
Ho 0.000 0.000 0.000
Mg -1.507 2.610 1.642
Mg -3.028 5.245 1.642
Mg 3.013 0.000 1.642
Mg 1.507 2.610 1.642
Mg 6.057 0.000 1.642
Mg 3.028 5.245 1.642
```

Properties
The volume comes out at 26.00 A^3/atom. Its energy relative to the lowest polymorph listed for this composition is 0.000 eV per atom. The formation energy comes out at -0.073 eV/atom. As for the total energy: -24.06 eV/cell.

No. 2
# Tb6Ho2Mg

Crystalline Tb6Ho2Mg at its relaxed geometry (GGA-PBE, the Alexandria database).

extended XYZ file:
```
18
Lattice="7.411 -4.357 0.000 7.411 4.357 0.000 -1.136 0.000 8.789" Properties=species:S:1:pos:R:3 pbc="T T T"
Tb 4.782 2.298 4.257
Tb 5.113 2.648 7.684
Tb 8.005 2.648 5.500
Tb 5.594 0.529 1.444
Tb 9.472 2.298 0.138
Tb 5.027 -0.529 5.839
Tb 8.659 0.529 2.950
Tb 4.214 -2.298 8.651
Tb 8.091 -0.529 7.345
Tb 5.681 -2.648 3.289
Tb 8.573 -2.648 1.106
Tb 8.904 -2.298 4.532
Ho 2.322 0.709 7.475
Ho 2.890 -0.709 3.080
Ho 10.795 0.709 5.709
Ho 11.363 -0.709 1.314
Mg 7.127 3.371 2.197
Mg 6.559 -3.371 6.592
```

Properties
The volume comes out at 31.53 A^3/atom. Its energy relative to the lowest polymorph listed for this composition is 0.133 eV per atom. The formation energy comes out at 0.155 eV/atom. As for the total energy: -74.28 eV/cell.

No. 3
# Tb5Ho6Mg

Crystalline Tb5Ho6Mg at its relaxed geometry (GGA-PBE, the Alexandria database).

extended XYZ file:
```
12
Lattice="5.835 -5.272 0.000 5.835 5.272 0.000 -1.037 0.000 6.011" Properties=species:S:1:pos:R:3 pbc="T T T"
Tb 0.000 0.000 0.000
Tb 5.317 3.525 3.006
Tb 5.835 1.750 0.000
Tb 5.835 -1.750 0.000
Tb 5.317 -3.525 3.006
Ho 2.665 1.755 1.478
Ho 2.134 0.000 4.497
Ho 2.665 -1.755 1.478
Ho 7.968 1.755 4.533
Ho 8.500 0.000 1.514
Ho 7.968 -1.755 4.533
Mg 5.317 0.000 3.006
```

Properties
The volume comes out at 30.82 A^3/atom. The formation energy comes out at 0.023 eV/atom. As for the total energy: -51.94 eV/cell.

No. 4
# TbHoMg

Crystalline TbHoMg at its relaxed geometry (GGA-PBE, the Alexandria database).

extended XYZ file:
```
3
Lattice="2.856 1.649 3.201 -2.856 1.649 3.201 0.000 -3.297 3.201" Properties=species:S:1:pos:R:3 pbc="T T T"
Tb 0.000 0.000 0.000
Ho 0.000 0.000 6.052
Mg 0.000 0.000 3.032
```

Properties
The volume comes out at 30.14 A^3/atom. Its energy relative to the lowest polymorph listed for this composition is 0.355 eV per atom. The formation energy comes out at 0.316 eV/atom. As for the total energy: -9.85 eV/cell.